Entry 1:
Y2Os | PBE | relaxed

The calculation puts the formation energy at 77.2 meV/atom.

The structure belongs to space group C2/m (No. 12); the cell edges are 11.8460, 3.4956 and 7.2560 Å and the angles 90.00°, 106.69° and 90.00°. The asymmetric unit holds Y at (0.0000, 0.0000, 0.0000), Y at (0.0000, 0.0000, 0.5000), Y at (0.2090, 0.5000, 0.2966) and Os at (0.1659, 0.5000, 0.8711).

Entry 2:
YOs2 | PBE | relaxed

The calculation puts the formation energy at 72.8 meV/atom.

The structure belongs to space group Cmcm (No. 63); the cell edges are 10.1881, 5.2305 and 4.4662 Å and the angles 90.00°, 90.00° and 90.00°. The asymmetric unit holds Y at (0.0000, 0.2449, 0.2500) and Os at (0.2196, 0.3531, 0.7500).